1.
Compound: NdCuRh4
Source: Alexandria
Functional: PBE
Structure: optimized geometry

a b c (Å): 5.268 5.268 5.268
angles (deg): 60.00 60.00 60.00
Fractional coordinates of all 6 atoms:
Nd  0.000  0.000  0.000
Cu  0.750  0.750  0.750
Rh  0.376  0.376  0.376
Rh  0.376  0.376  0.873
Rh  0.376  0.873  0.376
Rh  0.873  0.376  0.376

Computed properties:
- formation enthalpy at 0 K (eV per formula unit) = -1.120
- space-group type = F-43m (216)
- V (Å³/atom) = 17.2

***

2.
Compound: TbInNiIr
Source: Alexandria
Functional: PBE
Structure: optimized geometry

a b c (Å): 4.692 4.692 4.692
angles (deg): 60.00 60.00 60.00
Fractional coordinates of all 4 atoms:
Tb  0.000  0.000  0.000
In  0.500  0.500  0.500
Ni  0.250  0.250  0.250
Ir  0.750  0.750  0.750

Computed properties:
- formation enthalpy at 0 K (eV per formula unit) = -1.680
- space-group type = F-43m (216)
- V (Å³/atom) = 18.3

***

3.
Compound: Pu5PdRh2
Source: Alexandria
Functional: PBE
Structure: optimized geometry

a b c (Å): 5.362 5.374 6.078
angles (deg): 101.01 98.96 106.01
Fractional coordinates of all 8 atoms:
Pu  0.000  0.000  0.000
Pu  0.001  0.511  0.706
Pu  0.059  0.067  0.490
Pu  0.433  0.556  0.966
Pu  0.501  0.627  0.463
Pd  0.947  0.509  0.204
Rh  0.524  0.078  0.772
Rh  0.536  0.114  0.278

Computed properties:
- formation enthalpy at 0 K (eV per formula unit) = -1.493
- space-group type = P1 (1)
- V (Å³/atom) = 20.1
- polymorph energy (0 for the lowest one) (eV per formula unit) = 1.235

***

4.
Compound: KLiLa2
Source: Alexandria
Functional: PBE
Structure: optimized geometry

a b c (Å): 7.470 7.470 7.470
angles (deg): 101.49 101.49 126.99
Fractional coordinates of all 8 atoms:
K  0.000  0.000  0.000
K  0.750  0.250  0.500
Li  0.250  0.750  0.500
Li  0.500  0.500  0.000
La  0.150  0.625  0.025
La  0.375  0.400  0.525
La  0.600  0.125  0.975
La  0.875  0.850  0.475

Computed properties:
- formation enthalpy at 0 K (eV per formula unit) = 2.115
- space-group type = I-42d (122)
- V (Å³/atom) = 37.2
- polymorph energy (0 for the lowest one) (eV per formula unit) = 1.461

***

5.
Compound: Sm3Y12Mg
Source: Alexandria
Functional: PBE
Structure: optimized geometry

a b c (Å): 5.040 5.040 20.248
angles (deg): 90.00 90.00 90.00
Fractional coordinates of all 16 atoms:
Sm  0.000  0.000  0.000
Sm  0.000  0.000  0.252
Sm  0.000  0.000  0.748
Y  0.000  0.500  0.126
Y  0.000  0.500  0.378
Y  0.000  0.500  0.622
Y  0.000  0.500  0.874
Y  0.500  0.000  0.126
Y  0.500  0.000  0.378
Y  0.500  0.000  0.622
Y  0.500  0.000  0.874
Y  0.500  0.500  0.000
Y  0.500  0.500  0.255
Y  0.500  0.500  0.500
Y  0.500  0.500  0.745
Mg  0.000  0.000  0.500

Computed properties:
- formation enthalpy at 0 K (eV per formula unit) = 0.340
- space-group type = P4/mmm (123)
- V (Å³/atom) = 32.1

***

6.
Compound: BaNaMg2Ir
Source: Alexandria
Functional: PBE
Structure: optimized geometry

a b c (Å): 5.223 5.223 5.930
angles (deg): 90.00 90.00 90.00
Fractional coordinates of all 5 atoms:
Ba  0.000  0.000  0.000
Na  0.500  0.500  0.000
Mg  0.000  0.500  0.500
Mg  0.500  0.000  0.500
Ir  0.000  0.000  0.500

Computed properties:
- formation enthalpy at 0 K (eV per formula unit) = -0.132
- space-group type = P4/mmm (123)
- V (Å³/atom) = 32.4
- polymorph energy (0 for the lowest one) (eV per formula unit) = 0.000

***

7.
Compound: Cr2CuP
Source: Alexandria
Functional: PBE
Structure: optimized geometry

a b c (Å): 8.041 8.041 8.041
angles (deg): 19.22 19.22 19.22
Fractional coordinates of all 4 atoms:
Cr  0.000  0.000  0.000
Cr  0.253  0.253  0.253
Cu  0.757  0.757  0.757
P  0.513  0.513  0.513

Computed properties:
- formation enthalpy at 0 K (eV per formula unit) = 0.842
- space-group type = R3m (160)
- V (Å³/atom) = 12.3

***

8.
Compound: Y8PSe3S4
Source: Alexandria
Functional: PBE
Structure: optimized geometry

a b c (Å): 8.001 8.001 8.001
angles (deg): 59.97 59.97 59.97
Fractional coordinates of all 16 atoms:
Y  0.229  0.755  0.755
Y  0.241  0.241  0.241
Y  0.245  0.245  0.771
Y  0.245  0.771  0.245
Y  0.755  0.229  0.755
Y  0.755  0.755  0.229
Y  0.759  0.759  0.759
Y  0.771  0.245  0.245
P  0.000  0.000  0.000
Se  0.000  0.500  0.500
Se  0.500  0.000  0.500
Se  0.500  0.500  0.000
S  0.000  0.000  0.500
S  0.000  0.500  0.000
S  0.500  0.000  0.000
S  0.500  0.500  0.500

Computed properties:
- space-group type = R-3m (166)
- V (Å³/atom) = 22.6
- ΔE_f (raw) (kJ per mole of atoms) = -183

***

9.
Compound: MgAl4Ga
Source: Alexandria
Functional: PBE
Structure: optimized geometry

a b c (Å): 5.413 5.413 5.413
angles (deg): 60.00 60.00 60.00
Fractional coordinates of all 6 atoms:
Mg  0.000  0.000  0.000
Al  0.123  0.626  0.626
Al  0.626  0.123  0.626
Al  0.626  0.626  0.123
Al  0.626  0.626  0.626
Ga  0.250  0.250  0.250

Computed properties:
- formation enthalpy at 0 K (eV per formula unit) = 0.407
- space-group type = F-43m (216)
- V (Å³/atom) = 18.7
- polymorph energy (0 for the lowest one) (eV per formula unit) = 0.505

***

10.
Compound: Ag3SnPd7
Source: Alexandria
Functional: PBE
Structure: optimized geometry

a b c (Å): 6.635 6.635 5.097
angles (deg): 108.16 108.16 88.82
Fractional coordinates of all 11 atoms:
Ag  0.000  0.000  0.000
Ag  0.203  0.797  0.500
Ag  0.797  0.203  0.500
Sn  0.500  0.500  0.000
Pd  0.078  0.582  0.834
Pd  0.223  0.223  0.541
Pd  0.418  0.922  0.166
Pd  0.500  0.500  0.500
Pd  0.582  0.078  0.834
Pd  0.777  0.777  0.459
Pd  0.922  0.418  0.166

Computed properties:
- formation enthalpy at 0 K (eV per formula unit) = 0.521
- space-group type = C2/m (12)
- V (Å³/atom) = 18.4

***

11.
Compound: Ta2Ge2Ru
Source: Alexandria
Functional: PBE
Structure: optimized geometry

a b c (Å): 6.253 6.253 4.158
angles (deg): 90.00 90.00 90.00
Fractional coordinates of all 10 atoms:
Ta  0.159  0.341  0.000
Ta  0.341  0.841  0.000
Ta  0.659  0.159  0.000
Ta  0.841  0.659  0.000
Ge  0.141  0.641  0.500
Ge  0.359  0.141  0.500
Ge  0.641  0.859  0.500
Ge  0.859  0.359  0.500
Ru  0.000  0.000  0.500
Ru  0.500  0.500  0.500

Computed properties:
- formation enthalpy at 0 K (eV per formula unit) = -1.122
- space-group type = P4/mbm (127)
- V (Å³/atom) = 16.3

***

no.,M_tot (μB/cell)
1,0.0
2,0.0
3,4.9
4,0.0
5,0.0
6,0.0
7,0.0
8,0.0
9,0.0
10,0.0
11,0.0